Be2IrRh2 (SCAN, PBEsol geometry); energy of formation from the pure elements = -507 meV per atom; energy = -29.977 eV/atom; SG = P4/mbm, No. 127
1.0
2.747 0.000 0.000
0.000 6.375 0.000
0.000 0.000 6.375
Be Ir Rh
4 2 4
direct
0.000 0.373 0.873
0.000 0.873 0.627
0.000 0.627 0.127
0.000 0.127 0.373
0.000 0.000 0.000
0.000 0.500 0.500
0.500 0.170 0.670
0.500 0.670 0.830
0.500 0.830 0.330
0.500 0.330 0.170



Mg2TlCd2 (SCAN, PBEsol geometry); energy of formation from the pure elements = -66 meV per atom; energy = -28.693 eV/atom; SG = P4/mbm, No. 127; offset from the most stable computed form = 0 meV per atom
1.0
3.161 0.000 0.000
0.000 8.511 0.000
0.000 0.000 8.511
Tl Mg Cd
2 4 4
direct
0.000 0.000 0.000
0.000 0.500 0.500
0.500 0.177 0.677
0.500 0.677 0.823
0.500 0.823 0.323
0.500 0.323 0.177
0.000 0.379 0.879
0.000 0.879 0.621
0.000 0.621 0.121
0.000 0.121 0.379



Ni3OF5 (SCAN, PBEsol geometry); energy = -10.068 eV/atom; raw formation energy = -2.018 eV/atom; SG = P1, No. 1; offset from the most stable computed form = 22 meV per atom
1.0
5.443 0.039 -0.038
1.688 5.250 -0.013
2.126 1.605 6.565
Ni O F
6 2 10
direct
0.334 0.357 0.159
0.325 0.333 0.665
0.679 0.685 0.336
0.641 0.667 0.845
0.995 0.990 0.487
0.022 0.974 0.014
0.918 0.889 0.290
0.294 0.689 0.985
0.369 0.988 0.344
0.022 0.638 0.678
0.082 0.102 0.707
0.425 0.463 0.367
0.745 0.783 0.035
0.259 0.211 0.964
0.578 0.547 0.635
0.625 0.024 0.653
0.967 0.363 0.326
0.719 0.296 0.011



BiB2Te (SCAN, PBEsol geometry); energy = -30.936 eV/atom; raw formation energy = 1.737 eV/atom; SG = Fm-3m, No. 225
1.0
-3.938 -1.360 1.961
0.005 -1.569 4.329
-1.887 2.516 3.364
B Te Bi
2 1 1
direct
0.250 0.250 0.250
0.750 0.750 0.750
0.000 0.000 0.000
0.500 0.500 0.500



InCuP2 (SCAN, PBEsol geometry); energy of formation from the pure elements = 347 meV per atom; energy = -16.999 eV/atom; SG = C2/m, No. 12
1.0
-1.304 -1.335 -3.639
-2.812 -1.719 2.945
-0.592 4.380 -0.088
Cu In P
1 1 2
direct
0.500 0.000 0.000
0.500 0.500 0.500
0.000 0.500 0.000
0.000 0.000 0.500



LiY2Cr (SCAN, PBEsol geometry); energy of formation from the pure elements = 79 meV per atom; energy = -19.036 eV/atom; SG = P4/mmm, No. 123
1.0
3.559 0.000 0.000
0.000 5.035 0.000
0.000 0.000 5.035
Cr Li Y
1 1 2
direct
0.500 0.500 0.500
0.500 0.000 0.000
0.000 0.000 0.500
0.000 0.500 0.000



Na2SrSn2 (SCAN, PBEsol geometry); energy of formation from the pure elements = -410 meV per atom; energy = -20.920 eV/atom; SG = I4/mmm, No. 139
1.0
4.679 0.000 0.000
0.000 4.679 0.000
-2.339 -2.339 7.030
Sr Sn Na
1 2 2
direct
0.000 0.000 0.000
0.403 0.403 0.806
0.597 0.597 0.194
0.250 0.750 0.500
0.750 0.250 0.500



KCuAg2 (SCAN, PBEsol geometry); energy of formation from the pure elements = 359 meV per atom; energy = -21.207 eV/atom; SG = Imm2, No. 44; offset from the most stable computed form = 67 meV per atom
1.0
-0.484 2.733 -0.685
-4.854 -1.289 -1.710
0.729 0.149 6.048
Ag Cu K
2 1 1
direct
0.032 0.032 0.065
0.762 0.262 0.525
0.465 0.465 0.929
0.241 0.741 0.481



MnCd2Ni (SCAN, PBEsol geometry); energy of formation from the pure elements = 8 meV per atom; energy = -23.806 eV/atom; SG = Cm, No. 8; offset from the most stable computed form = 0 meV per atom
1.0
-2.822 -1.171 -0.113
1.688 -4.147 0.808
0.115 3.319 4.093
Cd Mn Ni
2 1 1
direct
0.979 0.979 0.959
0.758 0.259 0.517
0.529 0.528 0.058
0.233 0.734 0.466



Si3TeSe (SCAN, PBEsol geometry); energy = -16.308 eV/atom; raw formation energy = 1.167 eV/atom; SG = Pm-3m, No. 221
1.0
4.924 0.000 0.000
0.000 4.924 0.000
0.000 0.000 4.924
Si Te Se
3 1 1
direct
0.000 0.500 0.000
0.000 0.000 0.500
0.500 0.000 0.000
0.500 0.500 0.500
0.000 0.000 0.000



CsLiTa2I (SCAN, PBEsol geometry); energy = -39.373 eV/atom; raw formation energy = 2.648 eV/atom; SG = P4/mmm, No. 123
1.0
5.125 0.000 0.000
0.000 5.125 0.000
0.000 0.000 6.745
Cs I Li Ta
1 1 1 2
direct
0.000 0.000 0.000
0.000 0.000 0.500
0.500 0.500 0.500
0.000 0.500 0.000
0.500 0.000 0.000



RbYZr2 (SCAN, PBEsol geometry); energy of formation from the pure elements = 1188 meV per atom; energy = -26.307 eV/atom; SG = Fm-3m, No. 225
1.0
-1.630 1.489 -4.945
1.006 -3.192 -4.258
-4.059 -2.642 -2.423
Y Rb Zr
1 1 2
direct
0.500 0.500 0.500
0.000 0.000 0.000
0.250 0.250 0.250
0.750 0.750 0.750